A plane-wave DFT calculation with PBE was carried out for a geometry-optimized BC2 structure.

Cell: 6.8814 7.0227 7.0227 Å, 158.66 141.38 44.65°
With the nearest neighbours (Å) after each atom.
Fractional positions:
B  0.9999  0.3361  0.6637  4 C 1.61-1.66
B  0.1372  0.1422  0.9950  3 C 1.59-1.61
B  0.9796  0.9771  0.0025  3 C 1.56-1.57
B  0.5059  0.8360  0.6699  4 C 1.66-1.67
C  0.6186  0.2831  0.3354  1 C 1.52, 3 B 1.64-1.66
C  0.5057  0.1650  0.3406  3 C 1.52-1.58, 1 B 1.61
C  0.6267  0.9659  0.6608  2 C 1.57, 2 B 1.57-1.67
C  0.1189  0.7851  0.3338  1 C 1.48, 1 B 1.66
C  0.9842  0.6697  0.3144  2 C 1.48-1.55, 2 B 1.59
C  0.6223  0.6250  0.9972  4 C 1.55-1.58
C  0.5053  0.5030  0.0022  4 C 1.54-1.57
C  0.1459  0.4617  0.6842  1 C 1.54, 3 B 1.56-1.61

Values from the calculation:
symmetry = No. 8
energy = -0.59414 Ry per atom
relative energy among the computed polymorphs = 51.5 meV per atom
DFT formation energy = 0.291 eV/atom

***

A plane-wave DFT calculation with PBE was carried out for a geometry-optimized Pr4IrRh2 structure.

Cell: 8.0291 8.0282 8.0291 Å, 115.39 107.35 105.83°
With the nearest neighbours (Å) after each atom.
Fractional positions:
Pr  0.9234  0.2108  0.2874  3 Rh 2.91-3.03, 2 Ir 2.91-2.98
Pr  0.3265  0.5392  0.2125  3 Rh 2.91-3.03, 2 Ir 2.91-2.98
Pr  0.9235  0.6361  0.7127  3 Rh 2.91-3.03, 2 Ir 2.91-2.98
Pr  0.7903  0.0905  0.6993  3 Rh 2.79-2.88, 1 Ir 2.86
Pr  0.3912  0.0909  0.3007  3 Rh 2.79-2.88, 1 Ir 2.86
Pr  0.3267  0.1140  0.7875  3 Rh 2.91-3.03, 2 Ir 2.91-2.98
Pr  0.4597  0.6593  0.8005  3 Rh 2.79-2.88, 1 Ir 2.86
Pr  0.8588  0.6592  0.1994  3 Rh 2.79-2.88, 1 Ir 2.86
Ir  0.1670  0.6670  0.5000  6 Pr 2.86-2.98
Ir  0.0830  0.0830  0.0000  6 Pr 2.86-2.98
Rh  0.6251  0.3750  0.7500  6 Pr 2.88-2.91
Rh  0.6249  0.8750  0.2499  6 Pr 2.88-2.91
Rh  0.6250  0.3751  0.2501  6 Pr 2.79-3.03
Rh  0.1250  0.3749  0.7499  6 Pr 2.79-3.03

Values from the calculation:
symmetry = No. 74
energy = -0.48528 Ry per atom
relative energy among the computed polymorphs = 83.4 meV per atom
DFT formation energy = -0.505 eV/atom

***

A plane-wave DFT calculation with PBE was carried out for a geometry-optimized UTl2S2I4 structure.

Cell: 7.3256 7.9667 7.9667 Å, 62.86 70.07 70.07°
With the nearest neighbours (Å) after each atom.
Fractional positions:
U  0.5000  0.0000  0.0000  2 S 2.36
Tl  0.2630  0.7257  0.7257  1 S 3.26, 4 I 3.48-3.61
Tl  0.7370  0.2743  0.2743  1 S 3.26, 4 I 3.48-3.61
S  0.2221  0.1662  0.1662  1 U 2.36
S  0.7779  0.8338  0.8338  1 U 2.36
I  0.3048  0.6637  0.1733  1 U 3.00
I  0.6952  0.8267  0.3363  1 U 3.00
I  0.6952  0.3363  0.8267  1 U 3.00
I  0.3048  0.1733  0.6637  1 U 3.00

Values from the calculation:
symmetry = No. 12
energy = -0.30008 Ry per atom
ΔE_f (raw) = -0.697 eV/atom

***

A plane-wave DFT calculation with PBE was carried out for a geometry-optimized Sr4CdOs structure.

Cell: 6.5493 6.5493 6.5493 Å, 60.00 60.00 60.00°
With the nearest neighbours (Å) after each atom.
Fractional positions:
Sr  0.8789  0.3737  0.3737  6 Sr 3.24-3.31
Sr  0.3737  0.3737  0.8789  6 Sr 3.24-3.31
Sr  0.3737  0.8789  0.3737  6 Sr 3.24-3.31
Sr  0.3737  0.3737  0.3737  6 Sr 3.24-3.31
Cd  0.7500  0.7500  0.7500  12 Sr 3.84, 4 Os 4.01
Os  0.0000  0.0000  0.0000  12 Sr 3.84, 4 Cd 4.01

Values from the calculation:
symmetry = No. 216
energy = -0.14805 Ry per atom
DFT formation energy = 1.131 eV/atom

***

A plane-wave DFT calculation with PBE was carried out for a geometry-optimized PmNpTcRu structure.

Cell: 4.8389 4.8389 4.8389 Å, 60.00 60.00 60.00°
With the nearest neighbours (Å) after each atom.
Fractional positions:
Np  0.2500  0.2500  0.2500  4 Ru 2.96, 4 Tc 2.96
Ru  0.5000  0.5000  0.5000  4 Pm 2.96, 4 Np 2.96
Tc  0.0000  0.0000  0.0000  4 Np 2.96, 4 Pm 2.96
Pm  0.7500  0.7500  0.7500  4 Tc 2.96, 4 Ru 2.96

Values from the calculation:
symmetry = No. 216
energy = -0.67689 Ry per atom
DFT formation energy = 0.124 eV/atom

***

A plane-wave DFT calculation with PBE was carried out for a geometry-optimized AcZnInAg2 structure.

Cell: 4.3611 4.4413 6.9483 Å, 108.64 108.29 90.00°
With the nearest neighbours (Å) after each atom.
Fractional positions:
Ac  0.4399  0.4399  0.8798  6 Ag 3.38-3.66, 4 Zn 3.38
Zn  0.8328  0.8328  0.6656  3 Ag 2.64-2.74, 2 In 2.80
In  0.1909  0.6909  0.3818  2 Zn 2.80, 6 Ag 2.86-3.12
Ag  0.7032  0.2032  0.4064  2 Zn 2.74, 2 Ag 2.93
Ag  0.0454  0.0454  0.0908  1 Zn 2.64, 2 In 2.86, 2 Ag 2.93

Values from the calculation:
symmetry = No. 44
energy = -0.22368 Ry per atom
DFT formation energy = -0.279 eV/atom